# CeGdTmHg, optimized geometry, DFT PBE-GGA
# Formation energy from the elements ... -15 meV per atom
data_CeGdTmHg
_space_group_name_H-M_alt 'F -4 3 m'
_space_group_IT_number 216
_space_group_name_Hall 'F -4 2 3'
_cell_length_a 7.581
_cell_length_b 7.581
_cell_length_c 7.581
_cell_angle_alpha 90.00
_cell_angle_beta 90.00
_cell_angle_gamma 90.00
loop_
_atom_site_label
_atom_site_fract_x
_atom_site_fract_y
_atom_site_fract_z
Ce1 0.000 0.000 0.000
Gd1 0.250 0.250 0.250
Tm1 0.250 0.250 0.750
Hg1 0.000 0.000 0.500